Here is an optimized crystal structure of Y2RuPtC from the Alexandria database. Energies are from PBE.

Structure (POSCAR):
```
Y2RuPtC
1.0
4.9373 0.0000 0.0000
0.0000 4.9373 0.0000
0.0000 0.0000 3.8542
C Y Pt Ru
1 2 1 1
Cartesian
0.0000 0.0000 0.0000
2.4686 0.0000 0.0000
0.0000 2.4686 0.0000
2.4686 2.4686 1.9271
0.0000 0.0000 1.9271
```

Calculated values
Its density of states at the Fermi level is 2.9 states/eV per cell. As for the energy of formation from the pure elements: -0.612 eV/atom. As for the symmetry: P4/mmm (123). The value obtained for the total magnetization is 0.00 Bohr magnetons per cell. As for the total DFT energy (no corrections): -8.105 eV per atom.